No. 1
Entry from Alexandria via LeMat-Bulk: crystalline VBr3 at its relaxed geometry (PBE).

Values from the calculation:
formation energy from raw total energies: -528 meV per atom
mass density: 4.36 g/cm3

Cell lengths 9.1707, 9.1707, 6.9981 Å; angles 49.06, 49.06, 90.00 degrees
With the nearest neighbours (Å) after each atom.
Atoms (fractional coordinates):
Br1 0.7500 0.2500 0.5000  2 V 2.63
Br2 0.3750 0.5165 0.7500  2 V 2.58
Br3 0.8750 0.7335 0.7500  2 V 2.58
Br4 0.4835 0.1250 0.2500  2 V 2.58
Br5 0.0000 0.0000 0.0000  2 V 2.63
Br6 0.2665 0.6250 0.2500  2 V 2.58
V1 0.5000 0.5000 0.0000  6 Br 2.58-2.63
V2 0.2500 0.7500 0.5000  6 Br 2.58-2.63



No. 2
Entry from Alexandria via LeMat-Bulk: crystalline SmScPd at its relaxed geometry (PBE).

Values from the calculation:
mass density: 6.98 g/cm3
DFT formation energy: -1.22 eV/f.u.
distance to the lowest polymorph of the same formula: 0.177 eV/atom

Cell lengths 3.8687, 4.6291, 4.6291 Å; angles 120.00, 90.00, 90.00 degrees
With the nearest neighbours (Å) after each atom.
Atoms (fractional coordinates):
Sc1 0.1229 0.0000 0.0000  3 Pd 2.71
Sm1 0.6422 0.6667 0.3333  3 Pd 3.10, 6 Sc 3.26-3.34
Pd1 0.2349 0.3333 0.6667  3 Sc 2.71



No. 3
Entry from Alexandria via LeMat-Bulk: crystalline Tb3Ce2PmN6 at its relaxed geometry (PBE).

Values from the calculation:
formation energy from raw total energies: -1578 meV per atom
mass density: 8.72 g/cm3

Cell lengths 6.1293, 6.1293, 6.1239 Å; angles 99.60, 99.60, 120.01 degrees
With the nearest neighbours (Å) after each atom.
Atoms (fractional coordinates):
N1 0.4247 0.0833 0.2502  3 Tb 2.46-2.52, 2 Ce 2.48, 1 Pm 2.54
N2 0.7429 0.7429 0.2520  3 Tb 2.46-2.52, 2 Ce 2.49, 1 Pm 2.55
N3 0.9167 0.5753 0.7498  3 Tb 2.46-2.52, 2 Ce 2.48, 1 Pm 2.54
N4 0.0833 0.4247 0.2502  3 Tb 2.46-2.52, 2 Ce 2.48, 1 Pm 2.54
N5 0.5753 0.9167 0.7498  3 Tb 2.46-2.52, 2 Ce 2.48, 1 Pm 2.54
N6 0.2571 0.2571 0.7480  3 Tb 2.46-2.52, 2 Ce 2.49, 1 Pm 2.55
Pm1 0.0000 0.0000 0.0000  6 N 2.54-2.55
Tb1 0.5000 0.5000 0.5000  6 N 2.46-2.52
Tb2 0.8332 0.1668 0.5000  6 N 2.46-2.52
Tb3 0.1668 0.8332 0.5000  6 N 2.46-2.52
Ce1 0.3332 0.6668 0.0000  6 N 2.48-2.49
Ce2 0.6668 0.3332 0.0000  6 N 2.48-2.49



No. 4
Entry from Alexandria via LeMat-Bulk: crystalline ZrCd2Hg at its relaxed geometry (PBE).

Values from the calculation:
mass density: 9.88 g/cm3
DFT formation energy: 0.06 eV/f.u.

Cell lengths 5.2802, 5.2802, 5.2802 Å; angles 128.88, 128.88, 75.20 degrees
With the nearest neighbours (Å) after each atom.
Atoms (fractional coordinates):
Cd1 0.0000 0.0000 0.0000  4 Cd 3.09, 4 Zr 3.09, 4 Hg 3.22
Cd2 0.2500 0.7500 0.5000  4 Cd 3.09, 4 Hg 3.09, 4 Zr 3.22
Hg1 0.5000 0.5000 0.0000  8 Cd 3.09-3.22, 4 Zr 3.09
Zr1 0.7500 0.2500 0.5000  4 Hg 3.09, 8 Cd 3.09-3.22



No. 5
Entry from Alexandria via LeMat-Bulk: crystalline SrPr2Tm at its relaxed geometry (PBE).

Values from the calculation:
mass density: 5.94 g/cm3
DFT formation energy: 0.79 eV/f.u.
distance to the lowest polymorph of the same formula: 0.102 eV/atom

Cell lengths 5.9705, 5.9705, 5.9705 Å; angles 60.00, 60.00, 60.00 degrees
With the nearest neighbours (Å) after each atom.
Atoms (fractional coordinates):
Sr1 0.5000 0.5000 0.5000  8 Pr 3.66
Tm1 0.0000 0.0000 0.0000  8 Pr 3.66
Pr1 0.2500 0.2500 0.2500  4 Tm 3.66, 4 Sr 3.66
Pr2 0.7500 0.7500 0.7500  4 Tm 3.66, 4 Sr 3.66



No. 6
Entry from Alexandria via LeMat-Bulk: crystalline Al3Au2 at its relaxed geometry (PBE).

Values from the calculation:
mass density: 9.08 g/cm3
DFT formation energy: -1.25 eV/f.u.

Cell lengths 10.3880, 10.3880, 10.3880 Å; angles 17.34, 17.34, 17.34 degrees
With the nearest neighbours (Å) after each atom.
Atoms (fractional coordinates):
Al1 0.0000 0.0000 0.0000  6 Au 2.72
Al2 0.7977 0.7977 0.7977  3 Au 2.69, 3 Al 2.84
Al3 0.2023 0.2023 0.2023  3 Au 2.69, 3 Al 2.84
Au1 0.6004 0.6004 0.6004  6 Al 2.69-2.72
Au2 0.3996 0.3996 0.3996  6 Al 2.69-2.72



- Number 1 is which compound?
  VBr3



- Number 1 is which compound?
  VBr3